A plane-wave DFT calculation with PBE was carried out for an optimized crystal structure of CaTlGa.

Crystal system: orthorhombic
Formation energy from the elements, eV per atom: -0.2251
Total DFT energy (no corrections), eV/cell: -32.28

Lattice parameters (Å, degrees): 8.0919 6.4918 6.1959 90.00 90.00 90.00
Space group Pnma (No. 62)
Inequivalent atoms, fractional coordinates:
Ca (0.1773, 0.2500, 0.1299) x4
Tl (0.1789, 0.7500, 0.1289) x4
Ga (0.0000, 0.0000, 0.5000) x4